First-principles (GGA+U) data for SrCa7Ti3Mn5O24 after structural relaxation, as listed in Alexandria.

Properties
M_tot = 15.0 μB/cell
Energy = -294.139 eV per cell

Unit cell a=7.681 b=7.613 c=7.681 alpha=89.95 beta=89.61 gamma=89.96
Fractional positions:
Mn 0.501 0.501 0.999
O 0.506 0.035 0.254
Mn 0.998 0.501 0.998
O 0.031 0.254 0.030
O 0.747 0.958 0.501
O 0.749 0.449 0.999
Ca 0.257 0.747 0.749
O 0.999 0.449 0.749
O 0.999 0.039 0.749
Ca 0.749 0.747 0.257
Ca 0.246 0.250 0.744
O 0.959 0.746 0.959
O 0.000 0.550 0.250
O 0.461 0.254 0.961
O 0.749 0.039 0.999
O 0.250 0.961 0.000
O 0.457 0.749 0.458
O 0.510 0.459 0.252
O 0.250 0.550 0.000
Mn 0.999 0.501 0.501
Ca 0.756 0.251 0.756
Mn 0.502 0.500 0.502
Ca 0.744 0.250 0.246
Ti 0.999 0.998 0.501
Ca 0.745 0.749 0.745
O 0.751 0.551 0.503
O 0.254 0.035 0.507
O 0.501 0.958 0.747
Sr 0.252 0.253 0.252
O 0.541 0.746 0.036
Ca 0.244 0.749 0.244
O 0.036 0.746 0.541
O 0.961 0.254 0.461
O 0.000 0.961 0.250
O 0.543 0.251 0.542
Mn 0.501 0.999 0.501
O 0.503 0.551 0.751
Ti 0.501 0.998 0.999
O 0.252 0.459 0.510
Ti 0.998 0.999 0.998